# RhC3, relaxed, DFT GGA-PBE
# Total moment ... 0.00 μB per formula unit
# Formation energy from the elements ... 921 meV/atom
# E above lowest polymorph ... 0.354 eV/atom
data_RhC3
_chemical_formula_sum 'Rh1 C3'
_cell_length_a 2.869
_cell_length_b 3.600
_cell_length_c 3.955
_cell_angle_alpha 89.35
_cell_angle_beta 85.17
_cell_angle_gamma 79.42
_symmetry_space_group_name_H-M 'P 1'
_symmetry_Int_Tables_number 1
_symmetry_space_group_name_Hall 'P 1'
loop_
_atom_site_label
_atom_site_fract_x
_atom_site_fract_y
_atom_site_fract_z
Rh1 0.000 0.000 0.000
C1 0.565 0.045 0.593
C2 0.592 0.732 0.358
C3 0.643 0.350 0.378

***

# KGaTeI2, relaxed, DFT GGA-PBE
# Total moment ... 2.04 μB per formula unit
# E above lowest polymorph ... 0.601 eV/atom
data_KGaTeI2
_chemical_formula_sum 'K1 Ga1 Te1 I2'
_cell_length_a 6.550
_cell_length_b 6.550
_cell_length_c 6.370
_cell_angle_alpha 90.00
_cell_angle_beta 90.00
_cell_angle_gamma 90.00
_symmetry_space_group_name_H-M 'P 4/m m m'
_symmetry_Int_Tables_number 123
_symmetry_space_group_name_Hall '-P 4 2'
loop_
_atom_site_label
_atom_site_fract_x
_atom_site_fract_y
_atom_site_fract_z
K1 0.000 0.000 0.000
Ga1 0.500 0.500 0.500
Te1 0.000 0.000 0.500
I1 0.000 0.500 0.000

***

# Ce2Al12Pt7, relaxed, DFT GGA-PBE
# Total moment ... 1.31 μB per formula unit
# Formation energy from the elements ... -986 meV/atom
data_Ce2Al12Pt7
_chemical_formula_sum 'Ce2 Al12 Pt7'
_cell_length_a 10.0022
_cell_length_b 10.0022
_cell_length_c 4.1885
_cell_angle_alpha 90.00
_cell_angle_beta 90.00
_cell_angle_gamma 120.00
_symmetry_space_group_name_H-M 'P -6'
_symmetry_Int_Tables_number 174
_symmetry_space_group_name_Hall 'P -6'
loop_
_atom_site_label
_atom_site_fract_x
_atom_site_fract_y
_atom_site_fract_z
Ce1 0.0000 0.0000 0.0000
Ce2 0.3333 0.6667 0.5000
Al1 0.0253 0.2817 0.5000
Al2 0.1329 0.7438 0.0000
Al3 0.3767 0.1963 0.0000
Al4 0.5368 0.4194 0.5000
Pt1 0.0379 0.4490 0.0000
Pt2 0.2469 0.2314 0.5000
Pt3 0.6667 0.3333 0.0000